Entry from Alexandria: crystalline Al2Cr2O7 at its relaxed geometry (PBE+U).

The structure in extended XYZ format:
```
22
Lattice="0.0000 4.7408 4.7408 4.7408 0.0000 4.7408 4.7408 4.7408 0.0000" Properties=species:S:1:pos:R:3 pbc="T T T"
Al 5.9260 5.9260 5.9260
Al 3.5556 5.9260 3.5556
Al 5.9260 3.5556 3.5556
Al 3.5556 3.5556 5.9260
Cr 1.1852 1.1852 1.1852
Cr 3.5556 1.1852 3.5556
Cr 1.1852 3.5556 3.5556
Cr 3.5556 3.5556 1.1852
O 4.7408 4.7408 4.7408
O 7.1112 7.1112 7.1112
O 7.3226 4.7408 4.7408
O 0.2114 2.3704 2.3704
O 4.7408 4.7408 2.1590
O 4.7408 7.3226 4.7408
O 4.7408 2.1590 4.7408
O 4.7408 4.7408 7.3226
O 2.1590 4.7408 4.7408
O 2.3704 0.2114 2.3704
O 2.3704 4.5294 2.3704
O 4.5294 2.3704 2.3704
O 2.3704 2.3704 4.5294
O 2.3704 2.3704 0.2114
```

Values from the calculation:
Energy above the lowest structure with this stoichiometry ... 146 meV per atom
V ... 213.1 Å³/cell
Symmetry ... Fd-3m, No. 227
E_tot ... -0.514 Ry/atom